A:
VASP calculation (PBEsol) on TcIr5 after structural relaxation.

Lattice parameters (Å, degrees): 3.8269 11.4821 3.8293 90.00 90.00 90.00
Space group Cmmm (No. 65)
Symmetry-distinct sites (fractional):
Tc  0.0000  0.0000  0.0000 x2
Ir  0.0000  0.1656  0.5000 x4
Ir  0.0000  0.3380  0.0000 x4
Ir  0.0000  0.5000  0.5000 x2



B:
VASP calculation (PBEsol) on TcIr5 after structural relaxation.

Lattice parameters (Å, degrees): 2.7045 2.7045 11.5026 90.00 90.00 90.00
Space group P4/mmm (No. 123)
Symmetry-distinct sites (fractional):
Tc  0.0000  0.0000  0.0000 x1
Ir  0.0000  0.0000  0.3349 x2
Ir  0.5000  0.5000  0.1637 x2
Ir  0.5000  0.5000  0.5000 x1



Result of the stability comparison: B is the least stable of them.



A:
VASP calculation (PBEsol) on TcIr5 after structural relaxation.

Lattice parameters (Å, degrees): 4.7209 4.7209 4.3638 90.00 90.00 120.00
Space group P-62m (No. 189)
Symmetry-distinct sites (fractional):
Tc  0.0000  0.0000  0.0000 x1
Ir  0.0000  0.6665  0.5000 x3
Ir  0.3333  0.6667  0.0000 x2



B:
VASP calculation (PBEsol) on TcIr5 after structural relaxation.

Lattice parameters (Å, degrees): 9.9366 2.7246 6.4237 90.00 104.24 90.00
Space group Cm (No. 8)
Symmetry-distinct sites (fractional):
Tc  0.0000  0.0000  0.0000 x2
Ir  0.1100  0.5000  0.7238 x2
Ir  0.1637  0.5000  0.3261 x2
Ir  0.2790  0.0000  0.0532 x2
Ir  0.3364  0.0000  0.6707 x2
Ir  0.4449  0.5000  0.3871 x2



Result of the stability comparison: B is the least stable of them.



A:
VASP calculation (PBEsol) on TcIr after structural relaxation.

Lattice parameters (Å, degrees): 2.7183 2.7183 4.3436 90.00 90.00 120.00
Space group P-6m2 (No. 187)
Symmetry-distinct sites (fractional):
Tc  0.0000  0.0000  0.0000 x1
Ir  0.6667  0.3333  0.5000 x1



B:
VASP calculation (PBEsol) on TcIr after structural relaxation.

Lattice parameters (Å, degrees): 9.8598 2.7146 6.4194 90.00 103.78 90.00
Space group Cm (No. 8)
Symmetry-distinct sites (fractional):
Tc  0.0000  0.0000  0.0000 x2
Tc  0.0567  0.0000  0.6116 x2
Tc  0.3871  0.0000  0.2783 x2
Ir  0.1632  0.5000  0.3321 x2
Ir  0.2217  0.5000  0.9457 x2
Ir  0.3375  0.0000  0.6682 x2



Result of the stability comparison: A is the least stable of them.



A:
VASP calculation (PBEsol) on TcIr after structural relaxation.

Lattice parameters (Å, degrees): 2.7227 4.3120 4.7416 90.00 90.00 90.00
Space group Pmmn (No. 59, origin choice 2)
Symmetry-distinct sites (fractional):
Tc  0.2500  0.2500  0.0857 x2
Ir  0.2500  0.7500  0.4171 x2



B:
VASP calculation (PBEsol) on TcIr after structural relaxation.

Lattice parameters (Å, degrees): 9.8478 2.7154 4.7375 90.00 118.62 90.00
Space group C2/m (No. 12)
Symmetry-distinct sites (fractional):
Tc  0.1252  0.0000  0.2913 x4
Ir  0.1233  0.5000  0.7911 x4



C:
VASP calculation (PBEsol) on TcIr after structural relaxation.

Lattice parameters (Å, degrees): 4.3226 2.7045 4.7478 90.00 90.00 90.00
Space group Pmma (No. 51)
Symmetry-distinct sites (fractional):
Tc  0.2500  0.0000  0.1630 x2
Ir  0.2500  0.5000  0.6683 x2



Result of the stability comparison: A is the least stable of them.



A:
VASP calculation (PBEsol) on Tc5Ir after structural relaxation.

Lattice parameters (Å, degrees): 9.8616 2.7152 6.4203 90.00 103.73 90.00
Space group Cm (No. 8)
Symmetry-distinct sites (fractional):
Tc  0.0000  0.0000  0.0000 x2
Tc  0.0564  0.0000  0.6126 x2
Tc  0.1684  0.5000  0.3319 x2
Tc  0.2242  0.5000  0.9474 x2
Tc  0.3901  0.0000  0.2794 x2
Ir  0.3341  0.0000  0.6681 x2



B:
VASP calculation (PBEsol) on Tc5Ir after structural relaxation.

Lattice parameters (Å, degrees): 4.3262 2.7171 14.2115 90.00 90.00 90.00
Space group Amm2 (No. 38)
Symmetry-distinct sites (fractional):
Tc  0.0000  0.0000  0.0000 x2
Tc  0.0000  0.0000  0.3319 x2
Tc  0.0000  0.0000  0.6646 x2
Tc  0.5000  0.0000  0.2222 x2
Tc  0.5000  0.0000  0.5550 x2
Ir  0.5000  0.0000  0.8868 x2



C:
VASP calculation (PBEsol) on Tc5Ir after structural relaxation.

Lattice parameters (Å, degrees): 4.7252 4.7252 4.3183 90.00 90.00 120.00
Space group P-62m (No. 189)
Symmetry-distinct sites (fractional):
Tc  0.0000  0.3329  0.0000 x3
Tc  0.3333  0.6667  0.5000 x2
Ir  0.0000  0.0000  0.5000 x1



Result of the stability comparison: B is the least stable of them.



A:
VASP calculation (PBEsol) on Tc3Ir after structural relaxation.

Lattice parameters (Å, degrees): 2.7114 8.6448 4.7415 90.00 90.00 90.00
Space group Imm2 (No. 44)
Symmetry-distinct sites (fractional):
Tc  0.0000  0.0000  0.0000 x2
Tc  0.0000  0.2504  0.3301 x4
Ir  0.0000  0.5000  0.9983 x2



B:
VASP calculation (PBEsol) on Tc3Ir after structural relaxation.

Lattice parameters (Å, degrees): 5.4419 5.4419 8.6832 90.00 90.00 120.00
Space group P6_3/mmc (No. 194)
Symmetry-distinct sites (fractional):
Tc  0.0000  0.5000  0.0000 x6
Tc  0.1693  0.3387  0.2500 x6
Ir  0.0000  0.0000  0.0000 x2
Ir  0.3333  0.6667  0.7500 x2



C:
VASP calculation (PBEsol) on Tc3Ir after structural relaxation.

Lattice parameters (Å, degrees): 2.7040 2.7040 7.6508 90.00 90.00 90.00
Space group P4/mmm (No. 123)
Symmetry-distinct sites (fractional):
Tc  0.0000  0.0000  0.0000 x1
Tc  0.5000  0.5000  0.2474 x2
Ir  0.0000  0.0000  0.5000 x1



Result of the stability comparison: C is the least stable of them.



A:
VASP calculation (PBEsol) on TcTe2Ir after structural relaxation.

Lattice parameters (Å, degrees): 4.0468 4.0468 5.9894 90.00 90.00 90.00
Space group P-4m2 (No. 115)
Symmetry-distinct sites (fractional):
Tc  0.0000  0.0000  0.0000 x1
Te  0.0000  0.5000  0.7297 x2
Ir  0.5000  0.5000  0.0000 x1



B:
VASP calculation (PBEsol) on TcTe2Ir after structural relaxation.

Lattice parameters (Å, degrees): 3.0005 4.5676 5.4247 90.00 90.12 90.00
Space group P2/m (No. 10)
Symmetry-distinct sites (fractional):
Tc  0.0000  0.0000  0.0000 x1
Te  0.2368  0.5000  0.7478 x2
Ir  0.5000  0.0000  0.5000 x1



C:
VASP calculation (PBEsol) on TcTe2Ir after structural relaxation.

Lattice parameters (Å, degrees): 3.2191 3.2191 26.4466 90.00 90.00 120.00
Space group R-3m (No. 166, hexagonal axes)
Symmetry-distinct sites (fractional):
Tc  0.0000  0.0000  0.0000 x3
Te  0.0000  0.0000  0.4054 x6
Ir  0.0000  0.0000  0.5000 x3



D:
VASP calculation (PBEsol) on TcTe2Ir after structural relaxation.

Lattice parameters (Å, degrees): 8.2975 3.2652 5.5265 90.00 102.80 90.00
Space group C2/m (No. 12)
Symmetry-distinct sites (fractional):
Tc  0.0000  0.0000  0.0000 x2
Te  0.2435  0.5000  0.2436 x4
Ir  0.0000  0.5000  0.5000 x2



Result of the stability comparison: B is the least stable of them.



A:
VASP calculation (PBEsol) on TlTcIr2 after structural relaxation.

Lattice parameters (Å, degrees): 6.3137 6.3137 6.3137 90.00 90.00 90.00
Space group F-43m (No. 216)
Symmetry-distinct sites (fractional):
Tl  0.0000  0.0000  0.0000 x4
Tc  0.2500  0.2500  0.2500 x4
Ir  0.0000  0.0000  0.5000 x4
Ir  0.2500  0.2500  0.7500 x4



B:
VASP calculation (PBEsol) on TlTcIr2 after structural relaxation.

Lattice parameters (Å, degrees): 2.8305 2.8305 27.2601 90.00 90.00 120.00
Space group R3m (No. 160, hexagonal axes)
Symmetry-distinct sites (fractional):
Tl  0.0000  0.0000  0.0000 x3
Tc  0.0000  0.0000  0.7563 x3
Ir  0.0000  0.0000  0.2455 x3
Ir  0.0000  0.0000  0.4978 x3



Result of the stability comparison: A is the least stable of them.



A:
VASP calculation (PBEsol) on Tl2TcIr after structural relaxation.

Lattice parameters (Å, degrees): 3.0437 5.1882 9.2173 90.00 90.00 90.00
Space group Immm (No. 71)
Symmetry-distinct sites (fractional):
Tl  0.0000  0.0000  0.2469 x4
Tc  0.0000  0.5000  0.0000 x2
Ir  0.0000  0.5000  0.5000 x2



B:
VASP calculation (PBEsol) on Tl2TcIr after structural relaxation.

Lattice parameters (Å, degrees): 3.0807 5.1546 9.1228 90.00 90.00 90.00
Space group Cmmm (No. 65)
Symmetry-distinct sites (fractional):
Tl  0.0000  0.0000  0.2491 x4
Tc  0.0000  0.5000  0.5000 x2
Ir  0.0000  0.5000  0.0000 x2



Result of the stability comparison: B is the least stable of them.



A:
VASP calculation (PBEsol) on TcIr2W after structural relaxation.

Lattice parameters (Å, degrees): 3.8406 3.8406 7.7702 90.00 90.00 90.00
Space group I4/mmm (No. 139)
Symmetry-distinct sites (fractional):
Tc  0.0000  0.0000  0.0000 x2
Ir  0.0000  0.5000  0.2500 x4
W  0.0000  0.0000  0.5000 x2



B:
VASP calculation (PBEsol) on TcIr2W after structural relaxation.

Lattice parameters (Å, degrees): 5.4282 7.7633 2.7224 90.00 90.00 90.00
Space group Cmmm (No. 65)
Symmetry-distinct sites (fractional):
Tc  0.0000  0.0000  0.0000 x2
Ir  0.2500  0.2500  0.5000 x4
W  0.0000  0.5000  0.0000 x2



Result of the stability comparison: B is the least stable of them.



A:
VASP calculation (PBEsol) on TcIr2W after structural relaxation.

Lattice parameters (Å, degrees): 6.1677 6.1677 6.1677 90.00 90.00 90.00
Space group F-43m (No. 216)
Symmetry-distinct sites (fractional):
Tc  0.0000  0.0000  0.0000 x4
Ir  0.0000  0.0000  0.5000 x4
Ir  0.2500  0.2500  0.2500 x4
W  0.2500  0.2500  0.7500 x4



B:
VASP calculation (PBEsol) on TcIr2W after structural relaxation.

Lattice parameters (Å, degrees): 3.8674 3.8674 7.6848 90.00 90.00 90.00
Space group I-4m2 (No. 119)
Symmetry-distinct sites (fractional):
Tc  0.0000  0.0000  0.0000 x2
Ir  0.0000  0.0000  0.5000 x2
Ir  0.0000  0.5000  0.2500 x2
W  0.0000  0.5000  0.7500 x2



Result of the stability comparison: A is the least stable of them.